VASP calculation (PBE) on a relaxed structure of Sm19Ho6Er4.

Its formation energy is 373 meV per atom.

The structure belongs to space group I23 (No. 197); the cell edges are 12.560, 12.560 and 12.560 Å and the angles 90.00°, 90.00° and 90.00°. Symmetry generates all atoms from Sm at (0.000, 0.000, 0.000), Sm at (0.000, 0.000, 0.260), Sm at (0.063, 0.280, 0.738), Ho at (0.000, 0.126, 0.500) and Er at (0.179, 0.179, 0.179).

=====

VASP calculation (PBE) on a relaxed structure of TbPuAgBi.

Its formation energy is -298 meV per atom.

The structure belongs to space group F-43m (No. 216); the cell edges are 7.561, 7.561 and 7.561 Å and the angles 90.00°, 90.00° and 90.00°. Symmetry generates all atoms from Tb at (0.000, 0.000, 0.000), Pu at (0.000, 0.000, 0.500), Ag at (0.250, 0.250, 0.750) and Bi at (0.250, 0.250, 0.250).

=====

VASP calculation (PBE) on a relaxed structure of TlZnF6.

The formation energy without anion corrections is -1.71 eV per atom.

The structure belongs to space group P-31c (No. 163); the cell edges are 5.2027, 5.2027 and 9.7985 Å and the angles 90.00°, 90.00° and 120.00°. Symmetry generates all atoms from Tl at (0.0000, 0.0000, 0.0000), Zn at (0.3333, 0.6667, 0.2500) and F at (0.0305, 0.3546, 0.1307).

=====

VASP calculation (PBE) on a relaxed structure of YFeAs.

Its formation energy is -316 meV per atom.

The structure belongs to space group I4mm (No. 107); the cell edges are 3.276, 3.276 and 10.175 Å and the angles 90.00°, 90.00° and 90.00°. Symmetry generates all atoms from Y at (0.000, 0.000, 0.000), Fe at (0.000, 0.000, 0.303) and As at (0.000, 0.000, 0.707).

=====

VASP calculation (PBE) on a relaxed structure of Ti3SnH.

The energy above the most stable polymorph in this dataset comes out at 0 meV/atom.

The structure belongs to space group Pm-3m (No. 221); the cell edges are 4.167, 4.167 and 4.167 Å and the angles 90.00°, 90.00° and 90.00°. Symmetry generates all atoms from Ti at (0.000, 0.000, 0.500), Sn at (0.500, 0.500, 0.500) and H at (0.000, 0.000, 0.000).

=====

VASP calculation (PBE) on a relaxed structure of ZrRe2Cl.

The energy above the most stable polymorph in this dataset comes out at 761 meV/atom. The formation energy without anion corrections is 0.64 eV per atom.

The structure belongs to space group R-3m (No. 166, hexagonal axes); the cell edges are 2.8992, 2.8992 and 27.7119 Å and the angles 90.00°, 90.00° and 120.00°. Symmetry generates all atoms from Zr at (0.0000, 0.0000, 0.0000), Re at (0.0000, 0.0000, 0.2441) and Cl at (0.0000, 0.0000, 0.5000).

=====

no.,total magnetic moment (μB per atom)
1,0.000
2,1.750
3,0.135
4,0.549
5,0.000
6,0.000